Record 1
An optimized crystal structure of TaNO, computed with PBE.

Cell lengths 5.643, 6.192, 5.511 Å; angles 90.00, 108.06, 90.00 degrees
Space group P2_1/c (No. 14)
Symmetry-distinct sites (fractional):
Ta (0.041, 0.125, 0.245) x4
N (0.195, 0.118, 0.975) x4
O (0.180, 0.627, 0.966) x4

Computed properties:
Raw total energy   -120.34 eV/cell

Record 2
An optimized crystal structure of TaNO, computed with PBE.

Cell lengths 5.010, 5.071, 5.227 Å; angles 90.00, 99.72, 90.00 degrees
Space group P2_1/c (No. 14)
Symmetry-distinct sites (fractional):
Ta (0.206, 0.046, 0.284) x4
N (0.057, 0.744, 0.521) x4
O (0.438, 0.175, 0.653) x4

Computed properties:
Raw total energy   -123.58 eV/cell

The records above give, respectively, DOS at the Fermi energy values of 0.00; 0.00 states/eV/atom.
The records above give, respectively, formation energy (no corrections) values of -4.95; -5.76 eV per formula unit.